# 1
This record from the Alexandria database describes an optimized crystal structure of CsK2PaCl8. The functional is PBE.

a = 6.101 Å, b = 7.679 Å, c = 10.256 Å
α = 89.96°, β = 87.31°, γ = 105.58°
Element x y z (fractional)
K 0.557 0.496 0.283
K 0.443 0.504 0.717
Cl 0.119 0.811 0.818
Cl 0.397 0.223 0.003
Cl 0.915 0.204 0.822
Cl 0.570 0.265 0.515
Cl 0.603 0.777 0.997
Cl 0.881 0.189 0.182
Cl 0.085 0.796 0.178
Cl 0.430 0.735 0.485
Cs 0.000 0.000 0.500
Pa 0.000 0.000 0.000

As for the uncorrected formation energy: -1.89 eV/atom. Its space group is No. 2. Its total energy is -4.165 eV per atom. The volume comes out at 38.5 Å³ per atom.

***

# 2
This record from the Alexandria database describes an optimized crystal structure of Li13Nb14ZnO42. The functional is PBE.

a = 9.047 Å, b = 9.307 Å, c = 9.874 Å
α = 103.91°, β = 98.84°, γ = 98.93°
Element x y z (fractional)
Zn 0.959 0.118 0.646
Nb 0.500 0.505 0.504
Nb 0.712 0.856 0.429
Nb 0.580 0.288 0.150
Nb 0.296 0.144 0.575
Nb 0.431 0.718 0.860
Nb 0.222 0.363 0.937
Nb 0.003 0.001 0.002
Nb 0.787 0.645 0.074
Nb 0.146 0.573 0.287
Nb 0.355 0.932 0.216
Nb 0.859 0.433 0.719
Nb 0.640 0.077 0.795
Nb 0.932 0.218 0.361
Nb 0.070 0.782 0.644
O 0.398 0.558 0.686
O 0.415 0.137 0.223
O 0.273 0.567 0.938
O 0.551 0.955 0.382
O 0.121 0.235 0.523
O 0.607 0.419 0.360
O 0.157 0.882 0.096
O 0.183 0.702 0.505
O 0.729 0.169 0.241
O 0.979 0.668 0.240
O 0.442 0.026 0.666
O 0.968 0.842 0.828
O 0.320 0.272 0.786
O 0.014 0.308 0.810
O 0.111 0.415 0.112
O 0.695 0.526 0.665
O 0.588 0.598 0.955
O 0.037 0.129 0.218
O 0.844 0.851 0.081
O 0.310 0.708 0.259
O 0.988 0.424 0.368
O 0.837 0.097 0.951
O 0.682 0.700 0.256
O 0.125 0.995 0.653
O 0.166 0.136 0.973
O 0.872 0.739 0.526
O 0.595 0.852 0.829
O 0.454 0.281 0.543
O 0.897 0.557 0.933
O 0.757 0.989 0.650
O 0.540 0.129 0.968
O 0.739 0.423 0.116
O 0.408 0.379 0.090
O 0.700 0.281 0.794
O 0.880 0.993 0.404
O 0.467 0.842 0.077
O 0.025 0.566 0.688
O 0.827 0.271 0.544
O 0.300 0.456 0.384
O 0.266 0.813 0.811
O 0.255 0.985 0.397
O 0.559 0.713 0.511
Li 0.893 0.334 0.994
Li 0.245 0.263 0.210
Li 0.315 0.049 0.853
Li 0.103 0.694 0.924
Li 0.748 0.770 0.710
Li 0.818 0.552 0.351
Li 0.177 0.474 0.568
Li 0.673 0.978 0.070
Li 0.529 0.410 0.783
Li 0.462 0.623 0.136
Li 0.032 0.906 0.283
Li 0.386 0.836 0.494
Li 0.606 0.191 0.424

As for the uncorrected formation energy: -2.45 eV/atom. Its space group is No. 1. Its total energy is -7.808 eV per atom. The volume comes out at 11.2 Å³ per atom.